This record from Alexandria via LeMat-Bulk describes a geometry-optimized Tb2NdHg4 structure. The functional is PBE.

```
Tb2NdHg4
1.0
4.969 0.000 0.000
2.485 4.304 0.000
2.485 1.435 9.008
Tb Hg Nd
2 4 1
Cartesian
2.485 1.435 5.644 Tb
7.454 4.304 3.363 Tb
4.969 2.869 7.319 Hg
2.485 1.435 2.309 Hg
4.969 2.869 1.688 Hg
7.454 4.304 6.699 Hg
0.000 0.000 0.000 Nd
```

Calculated values
The density comes out at 10.90 g/cm³. The density of states at the Fermi level comes out at 0.675 states/eV/atom. The calculation puts the excess energy over the best structure of this formula in the dataset at 0.023 eV/atom. The energy of formation is -306 meV per atom. The space group is No. 166.